AcPr3Tl2 | PBE-GGA | optimized geometry

Values from the calculation:
E   -4.11 eV per atom
Energy relative to the elements   -248 meV/atom
Calculated volume   200.02 Å³ per cell

Lattice parameters (Å, degrees): 3.7911 3.7911 13.9168 90.00 90.00 90.00
Positions (direct):
Ac1 0.0000 0.0000 0.0000
Pr1 0.5000 0.5000 0.1940
Pr2 0.5000 0.5000 0.5000
Pr3 0.5000 0.5000 0.8060
Tl1 0.0000 0.0000 0.3444
Tl2 0.0000 0.0000 0.6556